(1)
# LiMgTcF6, optimized geometry, DFT PBE
# - DOS(E_F): 6.7 states/eV/f.u.
# - Total energy: -48.38 eV per formula unit
# - M_tot: 4.00 μB per cell
# - Formation energy (no corrections): -2586.4 meV/atom
data_LiMgTcF6
_chemical_formula_sum 'Li2 Mg2 Tc2 F12'
_cell_length_a 5.2779
_cell_length_b 5.2779
_cell_length_c 8.9664
_cell_angle_alpha 90.00
_cell_angle_beta 90.00
_cell_angle_gamma 120.00
_symmetry_space_group_name_H-M 'P -3 1 c'
_symmetry_Int_Tables_number 163
_symmetry_space_group_name_Hall '-P 3 2c'
loop_
_atom_site_label
_atom_site_fract_x
_atom_site_fract_y
_atom_site_fract_z
_atom_site_occupancy
Li1 0.0000 0.0000 0.0000 1
Mg1 0.3333 0.6667 0.2500 1
Tc1 0.3333 0.6667 0.7500 1
F1 0.0049 0.3437 0.1318 1

***

(2)
# TaCoNi3, optimized geometry, DFT PBE
# - DOS(E_F): 8.3 states/eV/f.u.
# - Total energy: -31.41 eV per formula unit
# - M_tot: 4.52 μB per cell
# - Energy of formation from the pure elements: 978 meV per atom
# - Distance to the lowest polymorph of the same formula: 1103 meV per atom
data_TaCoNi3
_chemical_formula_sum 'Ta1 Co1 Ni3'
_cell_length_a 4.1926
_cell_length_b 4.1926
_cell_length_c 4.1926
_cell_angle_alpha 90.00
_cell_angle_beta 90.00
_cell_angle_gamma 90.00
_symmetry_space_group_name_H-M 'P m -3 m'
_symmetry_Int_Tables_number 221
_symmetry_space_group_name_Hall '-P 4 2 3'
loop_
_atom_site_label
_atom_site_fract_x
_atom_site_fract_y
_atom_site_fract_z
_atom_site_occupancy
Ta1 0.0000 0.0000 0.0000 1
Co1 0.5000 0.5000 0.5000 1
Ni1 0.0000 0.5000 0.5000 1

***

(3)
# Cs8Ga11Cl, optimized geometry, DFT PBE
# - Total energy: -49.17 eV per formula unit
# - M_tot: 0.00 μB per cell
# - Formation energy (no corrections): -360.1 meV/atom
data_Cs8Ga11Cl
_chemical_formula_sum 'Cs48 Ga66 Cl6'
_cell_length_a 10.1242
_cell_length_b 10.1242
_cell_length_c 51.4826
_cell_angle_alpha 90.00
_cell_angle_beta 90.00
_cell_angle_gamma 120.00
_symmetry_space_group_name_H-M 'R -3 c'
_symmetry_Int_Tables_number 167
_symmetry_space_group_name_Hall '-R 3 2"c'
loop_
_atom_site_label
_atom_site_fract_x
_atom_site_fract_y
_atom_site_fract_z
_atom_site_occupancy
Cs1 0.0000 0.0000 0.0743 1
Cs2 0.0288 0.4068 0.3104 1
Ga1 0.0000 0.0000 0.2064 1
Ga2 0.0000 0.1903 0.2500 1
Ga3 0.0011 0.2521 0.7232 1
Cl1 0.0000 0.0000 0.0000 1

***

(4)
# CaPSe2, optimized geometry, DFT PBE
# - DOS(E_F): 2.4 states/eV/f.u.
# - Total energy: -15.90 eV per formula unit
# - M_tot: 0.00 μB per cell
# - Formation energy (no corrections): -379.5 meV/atom
data_CaPSe2
_chemical_formula_sum 'Ca3 P3 Se6'
_cell_length_a 4.2226
_cell_length_b 4.2226
_cell_length_c 23.9203
_cell_angle_alpha 90.00
_cell_angle_beta 90.00
_cell_angle_gamma 120.00
_symmetry_space_group_name_H-M 'R -3 m'
_symmetry_Int_Tables_number 166
_symmetry_space_group_name_Hall '-R 3 2"'
loop_
_atom_site_label
_atom_site_fract_x
_atom_site_fract_y
_atom_site_fract_z
_atom_site_occupancy
Ca1 0.0000 0.0000 0.0000 1
P1 0.0000 0.0000 0.5000 1
Se1 0.0000 0.0000 0.4018 1

***

Repeat the second record exactly.
# TaCoNi3, optimized geometry, DFT PBE
# - DOS(E_F): 8.3 states/eV/f.u.
# - Total energy: -31.41 eV per formula unit
# - M_tot: 4.52 μB per cell
# - Energy of formation from the pure elements: 978 meV per atom
# - Distance to the lowest polymorph of the same formula: 1103 meV per atom
data_TaCoNi3
_chemical_formula_sum 'Ta1 Co1 Ni3'
_cell_length_a 4.1926
_cell_length_b 4.1926
_cell_length_c 4.1926
_cell_angle_alpha 90.00
_cell_angle_beta 90.00
_cell_angle_gamma 90.00
_symmetry_space_group_name_H-M 'P m -3 m'
_symmetry_Int_Tables_number 221
_symmetry_space_group_name_Hall '-P 4 2 3'
loop_
_atom_site_label
_atom_site_fract_x
_atom_site_fract_y
_atom_site_fract_z
_atom_site_occupancy
Ta1 0.0000 0.0000 0.0000 1
Co1 0.5000 0.5000 0.5000 1
Ni1 0.0000 0.5000 0.5000 1

***

> The lowest total energy belongs to which entry?

Cs8Ga11Cl

***

> Which of these has the highest M_tot?

TaCoNi3

***

Please write out number 2 again, unchanged.
# TaCoNi3, optimized geometry, DFT PBE
# - DOS(E_F): 8.3 states/eV/f.u.
# - Total energy: -31.41 eV per formula unit
# - M_tot: 4.52 μB per cell
# - Energy of formation from the pure elements: 978 meV per atom
# - Distance to the lowest polymorph of the same formula: 1103 meV per atom
data_TaCoNi3
_chemical_formula_sum 'Ta1 Co1 Ni3'
_cell_length_a 4.1926
_cell_length_b 4.1926
_cell_length_c 4.1926
_cell_angle_alpha 90.00
_cell_angle_beta 90.00
_cell_angle_gamma 90.00
_symmetry_space_group_name_H-M 'P m -3 m'
_symmetry_Int_Tables_number 221
_symmetry_space_group_name_Hall '-P 4 2 3'
loop_
_atom_site_label
_atom_site_fract_x
_atom_site_fract_y
_atom_site_fract_z
_atom_site_occupancy
Ta1 0.0000 0.0000 0.0000 1
Co1 0.5000 0.5000 0.5000 1
Ni1 0.0000 0.5000 0.5000 1